No. 1
A PBEsol-optimized structure of Zn3Ni, computed with SCAN.

The calculation puts the density of states at the Fermi level at 0.37 states/eV per atom. The space group is Fm-3m, No. 225. As for the total DFT energy (no corrections): -14.292 eV/atom. For the calculated formation energy, the calculation gives -0.45 eV/f.u.

Cell and atoms, written as CIF:
```
data_Zn3Ni
_symmetry_space_group_name_H-M 'P 1'
_symmetry_Int_Tables_number 1
_cell_length_a 4.131
_cell_length_b 4.131
_cell_length_c 4.131
_cell_angle_alpha 60.00
_cell_angle_beta 60.00
_cell_angle_gamma 60.00
loop_
_symmetry_equiv_pos_as_xyz
'x,y,z'
loop_
_atom_site_label
_atom_site_fract_x
_atom_site_fract_y
_atom_site_fract_z
Ni1 0.000 0.000 0.000
Zn1 0.750 0.750 0.750
Zn2 0.500 0.500 0.500
Zn3 0.250 0.250 0.250
```


No. 2
A PBEsol-optimized structure of Zn2Ni, computed with SCAN.

The calculation puts the density of states at the Fermi level at 0.44 states/eV per atom. The space group is Cm, No. 8. As for the total DFT energy (no corrections): -14.525 eV/atom. For the calculated formation energy, the calculation gives -0.37 eV/f.u.

Cell and atoms, written as CIF:
```
data_Zn2Ni
_symmetry_space_group_name_H-M 'P 1'
_symmetry_Int_Tables_number 1
_cell_length_a 2.638
_cell_length_b 4.879
_cell_length_c 6.105
_cell_angle_alpha 103.73
_cell_angle_beta 90.00
_cell_angle_gamma 105.68
loop_
_symmetry_equiv_pos_as_xyz
'x,y,z'
loop_
_atom_site_label
_atom_site_fract_x
_atom_site_fract_y
_atom_site_fract_z
Ni1 0.996 0.992 0.995
Ni2 0.671 0.342 0.339
Zn1 0.392 0.784 0.267
Zn2 0.059 0.119 0.603
Zn3 0.336 0.672 0.671
Zn4 0.712 0.425 0.957
```


No. 3
A PBEsol-optimized structure of Zn3Ni, computed with SCAN.

The calculation puts the density of states at the Fermi level at 0.33 states/eV per atom. The space group is Pmmn, No. 59. As for the total DFT energy (no corrections): -14.340 eV/atom. For the calculated formation energy, the calculation gives -0.64 eV/f.u.

Cell and atoms, written as CIF:
```
data_Zn3Ni
_symmetry_space_group_name_H-M 'P 1'
_symmetry_Int_Tables_number 1
_cell_length_a 4.195
_cell_length_b 4.621
_cell_length_c 5.139
_cell_angle_alpha 90.00
_cell_angle_beta 90.00
_cell_angle_gamma 90.00
loop_
_symmetry_equiv_pos_as_xyz
'x,y,z'
loop_
_atom_site_label
_atom_site_fract_x
_atom_site_fract_y
_atom_site_fract_z
Ni1 0.000 0.664 0.000
Ni2 0.500 0.336 0.500
Zn1 0.500 0.355 0.000
Zn2 0.000 0.163 0.752
Zn3 0.500 0.837 0.748
Zn4 0.000 0.645 0.500
Zn5 0.000 0.163 0.248
Zn6 0.500 0.837 0.252
```